(P)
The following is a DFT calculation (PBE) of an optimized crystal structure of FeTcPb.

Results
Density of states at the Fermi level, states/eV/f.u.: 2.8

Cell: 11.7682 2.9803 2.9701 Å, 90.00 95.39 90.00°
Element x y z (fractional)
1 Fe 0.0000 0.0000 0.0000
2 Fe 0.5000 0.5000 0.0000
3 Tc 0.1150 0.5000 0.5362
4 Tc 0.6150 0.0000 0.5362
5 Pb 0.3124 0.0000 0.2601
6 Pb 0.8124 0.5000 0.2601

***

(Q)
The following is a DFT calculation (PBE) of an optimized crystal structure of FeTcPb.

Results
Density of states at the Fermi level, states/eV/f.u.: 3.7

Cell: 5.9590 5.9590 5.9590 Å, 90.00 90.00 90.00°
Element x y z (fractional)
1 Fe 0.0000 0.0000 0.0000
2 Fe 0.0000 0.5000 0.5000
3 Fe 0.5000 0.0000 0.5000
4 Fe 0.5000 0.5000 0.0000
5 Tc 0.2500 0.2500 0.2500
6 Tc 0.2500 0.7500 0.7500
7 Tc 0.7500 0.2500 0.7500
8 Tc 0.7500 0.7500 0.2500
9 Pb 0.2500 0.2500 0.7500
10 Pb 0.2500 0.7500 0.2500
11 Pb 0.7500 0.2500 0.2500
12 Pb 0.7500 0.7500 0.7500

***

Stability ranking, top and bottom: (P) is the most stable and (Q) is the least stable.

***

(P)
The following is a DFT calculation (PBE) of an optimized crystal structure of FeTcPb.

Results
Density of states at the Fermi level, states/eV/f.u.: 2.4

Cell: 4.2465 4.2465 3.3499 Å, 90.00 90.00 120.00°
Element x y z (fractional)
1 Fe 0.0000 0.0000 0.0000
2 Tc 0.3333 0.6667 0.9027
3 Pb 0.6667 0.3333 0.4312

***

(Q)
The following is a DFT calculation (PBE) of an optimized crystal structure of FeTcPb.

Results
Density of states at the Fermi level, states/eV/f.u.: 3.9

Cell: 3.0503 3.0503 6.6484 Å, 90.00 90.00 120.00°
Element x y z (fractional)
1 Fe 0.0000 0.0000 0.0000
2 Tc 0.3333 0.6667 0.7413
3 Pb 0.6667 0.3333 0.3647

***

Stability ranking, top and bottom: (P) is the most stable and (Q) is the least stable.

***

(P)
The following is a DFT calculation (PBE) of an optimized crystal structure of Fe2TePb.

Results
Density of states at the Fermi level, states/eV/f.u.: 9.8

Cell: 6.4833 6.4833 6.4833 Å, 90.00 90.00 90.00°
Element x y z (fractional)
1 Fe 0.2500 0.2500 0.2500
2 Fe 0.2500 0.2500 0.7500
3 Fe 0.2500 0.7500 0.2500
4 Fe 0.2500 0.7500 0.7500
5 Fe 0.7500 0.2500 0.2500
6 Fe 0.7500 0.2500 0.7500
7 Fe 0.7500 0.7500 0.2500
8 Fe 0.7500 0.7500 0.7500
9 Te 0.0000 0.0000 0.0000
10 Te 0.0000 0.5000 0.5000
11 Te 0.5000 0.0000 0.5000
12 Te 0.5000 0.5000 0.0000
13 Pb 0.0000 0.0000 0.5000
14 Pb 0.0000 0.5000 0.0000
15 Pb 0.5000 0.0000 0.0000
16 Pb 0.5000 0.5000 0.5000

***

(Q)
The following is a DFT calculation (PBE) of an optimized crystal structure of Fe2TePb.

Results
Density of states at the Fermi level, states/eV/f.u.: 3.5

Cell: 8.9189 3.2388 7.0546 Å, 90.00 119.76 90.00°
Element x y z (fractional)
1 Fe 0.2243 0.0000 0.3571
2 Fe 0.2757 0.5000 0.6429
3 Fe 0.7243 0.5000 0.3571
4 Fe 0.7757 0.0000 0.6429
5 Te 0.0000 0.0000 0.5000
6 Te 0.5000 0.5000 0.5000
7 Pb 0.0000 0.5000 0.0000
8 Pb 0.5000 0.0000 0.0000

***

Stability ranking, top and bottom: (Q) is the most stable and (P) is the least stable.